Record 1
Density functional theory data (PBE-GGA) for a geometry-optimized InHPt structure.

Summary:
* offset from the most stable computed form: 0 meV per atom
* magnetization: 0.000 Bohr magnetons per cell
* DOS at the Fermi energy: 0.276 states/eV per atom
* E_tot: -4.27 eV/atom

```
InHPt
1.0
-0.478 -3.161 -0.958
2.868 -0.832 -4.498
3.601 -3.088 2.580
In Pt H
2 2 2
Direct
0.000 0.249 0.752
0.000 0.751 0.248
0.707 0.293 0.293
0.293 0.707 0.707
0.705 0.795 0.794
0.295 0.205 0.206
```

***

Record 2
Density functional theory data (PBE-GGA) for a geometry-optimized Pm15HoIn4 structure.

Summary:
* magnetization: 0.001 Bohr magnetons per cell
* DOS at the Fermi energy: 1.490 states/eV per atom
* E_tot: -4.55 eV/atom
* energy of formation: -0.21 eV per atom

```
Pm15HoIn4
1.0
4.960 0.000 0.000
0.000 4.960 0.000
0.000 0.000 25.254
Pm In Ho
15 4 1
Direct
0.500 0.500 0.796
0.000 0.500 0.895
0.000 0.500 0.105
0.500 0.000 0.302
0.500 0.500 0.204
0.500 0.000 0.895
0.500 0.000 0.698
0.500 0.500 0.401
0.000 0.500 0.302
0.000 0.500 0.698
0.000 0.500 0.500
0.500 0.500 0.000
0.500 0.000 0.500
0.500 0.500 0.599
0.500 0.000 0.105
0.000 0.000 0.795
0.000 0.000 0.599
0.000 0.000 0.205
0.000 0.000 0.401
0.000 0.000 0.000
```

***

Record 3
Density functional theory data (PBE-GGA) for a geometry-optimized HfScHg2F structure.

Summary:
* offset from the most stable computed form: 1181 meV per atom
* magnetization: 0.000 Bohr magnetons per cell
* DOS at the Fermi energy: 0.930 states/eV per atom
* formation energy from raw total energies: 563 meV per atom
* E_tot: -3.19 eV/atom

```
HfScHg2F
1.0
5.471 0.000 0.000
0.000 5.171 0.000
0.000 0.000 5.471
Hg Hf Sc F
2 1 1 1
Direct
0.500 0.000 0.000
0.000 0.000 0.500
0.000 0.500 0.000
0.000 0.000 0.000
0.500 0.500 0.500
```